1.
Density functional theory data (GGA-PBE) for a relaxed structure of TaAg2P.

Summary:
Total energy: -5.3781 eV/atom
Formation energy: 363 meV/atom
Theoretical density: 10.69 g/cm³

abc: 4.5451 4.5451 4.5451
angles: 119.94 119.94 90.10
Closest atoms and distances in Å follow each position.
Fractional coordinates of all 4 atoms:
Ta 0.0000 0.0000 0.0000  4 Ag 2.78, 4 P 2.78
Ag 0.2500 0.7500 0.5000  4 Ag 2.78, 4 Ta 2.78
Ag 0.5000 0.5000 0.0000  4 Ag 2.78, 4 P 2.78
P 0.7500 0.2500 0.5000  4 Ag 2.78, 4 Ta 2.78


2.
Density functional theory data (GGA-PBE) for a relaxed structure of TaAgP.

Summary:
Total energy: -6.5130 eV/atom
Formation energy: 192 meV/atom
Theoretical density: 9.81 g/cm³

abc: 4.2075 4.2075 3.5310
angles: 90.00 90.00 120.00
Closest atoms and distances in Å follow each position.
Fractional coordinates of all 3 atoms:
Ta 0.0000 0.0000 0.0000  3 P 2.43
Ag 0.6667 0.3333 0.5000  6 Ta 3.00, 6 P 3.00
P 0.3333 0.6667 0.0000  3 Ta 2.43


3.
Density functional theory data (GGA-PBE) for a relaxed structure of TaAg2P.

Summary:
Total energy: -5.3719 eV/atom
Formation energy: 369 meV/atom
Theoretical density: 10.31 g/cm³

abc: 9.5265 9.5265 9.5265
angles: 17.59 17.59 17.59
Closest atoms and distances in Å follow each position.
Fractional coordinates of all 4 atoms:
Ta 0.0000 0.0000 0.0000  6 Ta 2.91, 6 Ag 2.99
Ag 0.2455 0.2455 0.2455  3 P 2.78, 6 Ag 2.91, 3 Ta 2.99
Ag 0.7545 0.7545 0.7545  3 P 2.78, 6 Ag 2.91, 3 Ta 2.99
P 0.5000 0.5000 0.5000  6 Ag 2.78, 6 P 2.91


Please write out number 1 again, unchanged.
Density functional theory data (GGA-PBE) for a relaxed structure of TaAg2P.

Summary:
Total energy: -5.3781 eV/atom
Formation energy: 363 meV/atom
Theoretical density: 10.69 g/cm³

abc: 4.5451 4.5451 4.5451
angles: 119.94 119.94 90.10
Closest atoms and distances in Å follow each position.
Fractional coordinates of all 4 atoms:
Ta 0.0000 0.0000 0.0000  4 Ag 2.78, 4 P 2.78
Ag 0.2500 0.7500 0.5000  4 Ag 2.78, 4 Ta 2.78
Ag 0.5000 0.5000 0.0000  4 Ag 2.78, 4 P 2.78
P 0.7500 0.2500 0.5000  4 Ag 2.78, 4 Ta 2.78


> Which formula does entry 3 have?

TaAg2P


> The lowest formation energy belongs to which entry?

TaAgP


> Number 3 is which compound?

TaAg2P